Record 1
The following is a DFT calculation (PBEsol) of a geometry-optimized YSi2Pd structure.

Calculated values
E_form (uncorrected) = -0.487 eV/atom
density of states at the Fermi level = 0.454 states/eV/atom
total DFT energy (no corrections) = -52.4 eV for the cell shown

a b c (Å): 4.434 4.434 8.793
angles (deg): 104.60 104.60 90.00
Sites, in units of the cell vectors:
Si: 0.125 0.983 0.750
Si: 0.017 0.375 0.250
Si: 0.233 0.875 0.250
Si: 0.625 0.767 0.750
Pd: 0.250 0.750 0.500
Pd: 0.000 0.000 0.000
Y: 0.750 0.250 0.500
Y: 0.500 0.500 0.000

Record 2
The following is a DFT calculation (PBEsol) of a geometry-optimized MgSc2TlCl structure.

Calculated values
E_form (uncorrected) = -0.198 eV/atom
density of states at the Fermi level = 0.708 states/eV/atom
total DFT energy (no corrections) = -20.6 eV for the cell shown

a b c (Å): 4.740 4.740 5.534
angles (deg): 90.00 90.00 90.00
Sites, in units of the cell vectors:
Sc: 0.500 0.000 0.000
Sc: 0.000 0.500 0.000
Mg: 0.500 0.500 0.500
Cl: 0.000 0.000 0.000
Tl: 0.000 0.000 0.500

Record 3
The following is a DFT calculation (PBEsol) of a geometry-optimized Rb3BiC structure.

Calculated values
density of states at the Fermi level = 0.492 states/eV/atom
formation energy = 0.844 eV per atom
total DFT energy (no corrections) = -12.8 eV for the cell shown

a b c (Å): 5.919 5.919 5.919
angles (deg): 90.00 90.00 90.00
Each line ends with the local moment (μB).
Sites, in units of the cell vectors:
C: 0.000 0.000 0.000  1.15
Rb: 0.500 0.000 0.000  0.05
Rb: 0.000 0.000 0.500  0.05
Rb: 0.000 0.500 0.000  0.05
Bi: 0.500 0.500 0.500  0.66